Record 1
# K3InBi (PBE, optimized geometry)
# - E_form (eV per atom) = 0.308
# - offset from the most stable computed form (eV/f.u.) = 2.338
# - total moment (Bohr magnetons per cell) = 0.8
# - space group = No. 221
data_K3InBi
_chemical_formula_sum 'K3 In1 Bi1'
_cell_length_a 6.4900
_cell_length_b 6.4900
_cell_length_c 6.4900
_cell_angle_alpha 90.00
_cell_angle_beta 90.00
_cell_angle_gamma 90.00
_space_group_name_H-M_alt 'P 1'
_space_group_IT_number 1
loop_
_space_group_symop_operation_xyz
'x,y,z'
loop_
_atom_site_label
_atom_site_fract_x
_atom_site_fract_y
_atom_site_fract_z
K1 0.0000 0.5000 0.0000
K2 0.0000 0.0000 0.5000
K3 0.5000 0.0000 0.0000
Bi1 0.5000 0.5000 0.5000
In1 0.0000 0.0000 0.0000

Record 2
# K5In4Bi4 (PBE, optimized geometry)
# - E_form (eV per atom) = -0.246
# - total moment (Bohr magnetons per cell) = 0.0
# - space group = No. 87
data_K5In4Bi4
_chemical_formula_sum 'K5 In4 Bi4'
_cell_length_a 4.9641
_cell_length_b 10.2546
_cell_length_c 10.2546
_cell_angle_alpha 86.64
_cell_angle_beta 75.99
_cell_angle_gamma 75.99
_space_group_name_H-M_alt 'P 1'
_space_group_IT_number 1
loop_
_space_group_symop_operation_xyz
'x,y,z'
loop_
_atom_site_label
_atom_site_fract_x
_atom_site_fract_y
_atom_site_fract_z
K1 0.7101 0.9293 0.6506
K2 0.2899 0.0707 0.3494
K3 0.0000 0.0000 0.0000
K4 0.6393 0.6506 0.0707
K5 0.3607 0.3494 0.9293
In1 0.9052 0.5289 0.6606
In2 0.5658 0.3394 0.5289
In3 0.0948 0.4711 0.3394
In4 0.4342 0.6606 0.4711
Bi1 0.7375 0.3105 0.2146
Bi2 0.2625 0.6895 0.7854
Bi3 0.9521 0.7854 0.3105
Bi4 0.0479 0.2146 0.6895

Record 3
# K6InBi2 (PBE, optimized geometry)
# - E_form (eV per atom) = -0.246
# - total moment (Bohr magnetons per cell) = 0.0
# - space group = No. 166
data_K6InBi2
_chemical_formula_sum 'K6 In1 Bi2'
_cell_length_a 6.1499
_cell_length_b 6.1499
_cell_length_c 12.8327
_cell_angle_alpha 76.14
_cell_angle_beta 76.14
_cell_angle_gamma 60.00
_space_group_name_H-M_alt 'P 1'
_space_group_IT_number 1
loop_
_space_group_symop_operation_xyz
'x,y,z'
loop_
_atom_site_label
_atom_site_fract_x
_atom_site_fract_y
_atom_site_fract_z
K1 0.5809 0.5809 0.2573
K2 0.8088 0.8088 0.5735
K3 0.7045 0.7045 0.8866
K4 0.1912 0.1912 0.4265
K5 0.4191 0.4191 0.7427
K6 0.2955 0.2955 0.1134
In1 0.0000 0.0000 0.0000
Bi1 0.9101 0.9101 0.2696
Bi2 0.0899 0.0899 0.7304

Record 4
# KIn2Bi (PBE, optimized geometry)
# - E_form (eV per atom) = -0.077
# - total moment (Bohr magnetons per cell) = 0.0
# - space group = No. 129
data_KIn2Bi
_chemical_formula_sum 'K2 In4 Bi2'
_cell_length_a 5.0140
_cell_length_b 5.0140
_cell_length_c 11.6730
_cell_angle_alpha 90.00
_cell_angle_beta 90.00
_cell_angle_gamma 90.00
_space_group_name_H-M_alt 'P 1'
_space_group_IT_number 1
loop_
_space_group_symop_operation_xyz
'x,y,z'
loop_
_atom_site_label
_atom_site_fract_x
_atom_site_fract_y
_atom_site_fract_z
K1 0.5000 0.0000 0.2432
K2 0.0000 0.5000 0.7568
In1 0.5000 0.0000 0.9458
In2 0.0000 0.5000 0.0542
In3 0.0000 0.0000 0.5000
In4 0.5000 0.5000 0.5000
Bi1 0.5000 0.0000 0.6712
Bi2 0.0000 0.5000 0.3288

Record 5
# KIn2Bi (PBE, optimized geometry)
# - E_form (eV per atom) = -0.121
# - total moment (Bohr magnetons per cell) = 0.0
# - space group = No. 123
data_KIn2Bi
_chemical_formula_sum 'K1 In2 Bi1'
_cell_length_a 4.1355
_cell_length_b 4.1355
_cell_length_c 8.0029
_cell_angle_alpha 90.00
_cell_angle_beta 90.00
_cell_angle_gamma 90.00
_space_group_name_H-M_alt 'P 1'
_space_group_IT_number 1
loop_
_space_group_symop_operation_xyz
'x,y,z'
loop_
_atom_site_label
_atom_site_fract_x
_atom_site_fract_y
_atom_site_fract_z
K1 0.5000 0.5000 0.5000
Bi1 0.5000 0.5000 0.0000
In1 0.0000 0.0000 0.8016
In2 0.0000 0.0000 0.1984

Record 6
# K2In3Bi2 (PBE, optimized geometry)
# - E_form (eV per atom) = -0.165
# - total moment (Bohr magnetons per cell) = 0.0
# - space group = No. 12
data_K2In3Bi2
_chemical_formula_sum 'K2 In3 Bi2'
_cell_length_a 5.0266
_cell_length_b 6.8151
_cell_length_c 7.7834
_cell_angle_alpha 80.03
_cell_angle_beta 90.00
_cell_angle_gamma 111.64
_space_group_name_H-M_alt 'P 1'
_space_group_IT_number 1
loop_
_space_group_symop_operation_xyz
'x,y,z'
loop_
_atom_site_label
_atom_site_fract_x
_atom_site_fract_y
_atom_site_fract_z
K1 0.8668 0.7336 0.3254
K2 0.1332 0.2664 0.6746
In1 0.5000 0.0000 0.0000
In2 0.5793 0.1586 0.3376
In3 0.4207 0.8414 0.6624
Bi1 0.8161 0.6323 0.8476
Bi2 0.1839 0.3677 0.1524

Record 7
# KInBi (PBE, optimized geometry)
# - E_form (eV per atom) = -0.195
# - total moment (Bohr magnetons per cell) = 0.0
# - space group = No. 107
data_KInBi
_chemical_formula_sum 'K1 In1 Bi1'
_cell_length_a 3.8338
_cell_length_b 3.8338
_cell_length_c 7.6343
_cell_angle_alpha 104.54
_cell_angle_beta 104.54
_cell_angle_gamma 90.00
_space_group_name_H-M_alt 'P 1'
_space_group_IT_number 1
loop_
_space_group_symop_operation_xyz
'x,y,z'
loop_
_atom_site_label
_atom_site_fract_x
_atom_site_fract_y
_atom_site_fract_z
K1 0.6167 0.6167 0.2334
Bi1 0.9304 0.9304 0.8608
In1 0.3029 0.3029 0.6058

Record 8
# K2In2Bi (PBE, optimized geometry)
# - E_form (eV per atom) = -0.159
# - offset from the most stable computed form (eV/f.u.) = 0.000
# - total moment (Bohr magnetons per cell) = 0.0
# - space group = No. 127
data_K2In2Bi
_chemical_formula_sum 'K4 In4 Bi2'
_cell_length_a 8.0969
_cell_length_b 8.0969
_cell_length_c 5.8043
_cell_angle_alpha 90.00
_cell_angle_beta 90.00
_cell_angle_gamma 90.00
_space_group_name_H-M_alt 'P 1'
_space_group_IT_number 1
loop_
_space_group_symop_operation_xyz
'x,y,z'
loop_
_atom_site_label
_atom_site_fract_x
_atom_site_fract_y
_atom_site_fract_z
K1 0.1836 0.6836 0.5000
K2 0.6836 0.8164 0.5000
K3 0.8164 0.3164 0.5000
K4 0.3164 0.1836 0.5000
Bi1 0.0000 0.0000 0.0000
Bi2 0.5000 0.5000 0.0000
In1 0.3726 0.8726 0.0000
In2 0.8726 0.6274 0.0000
In3 0.6274 0.1274 0.0000
In4 0.1274 0.3726 0.0000

Record 9
# KIn6Bi4 (PBE, optimized geometry)
# - E_form (eV per atom) = -0.047
# - offset from the most stable computed form (eV/f.u.) = 0.000
# - total moment (Bohr magnetons per cell) = 0.0
# - space group = No. 139
data_KIn6Bi4
_chemical_formula_sum 'K1 In6 Bi4'
_cell_length_a 4.9324
_cell_length_b 4.9324
_cell_length_c 16.2883
_cell_angle_alpha 98.71
_cell_angle_beta 98.71
_cell_angle_gamma 90.00
_space_group_name_H-M_alt 'P 1'
_space_group_IT_number 1
loop_
_space_group_symop_operation_xyz
'x,y,z'
loop_
_atom_site_label
_atom_site_fract_x
_atom_site_fract_y
_atom_site_fract_z
K1 0.0000 0.0000 0.0000
In1 0.7500 0.2500 0.5000
In2 0.8844 0.3844 0.7688
In3 0.1156 0.6156 0.2312
In4 0.6156 0.1156 0.2312
In5 0.3844 0.8844 0.7688
In6 0.2500 0.7500 0.5000
Bi1 0.4465 0.4465 0.8931
Bi2 0.1800 0.1800 0.3600
Bi3 0.8200 0.8200 0.6400
Bi4 0.5535 0.5535 0.1069

Record 10
# KInBi2 (PBE, optimized geometry)
# - E_form (eV per atom) = -0.050
# - total moment (Bohr magnetons per cell) = 0.0
# - space group = No. 160
data_KInBi2
_chemical_formula_sum 'K1 In1 Bi2'
_cell_length_a 4.0859
_cell_length_b 4.0859
_cell_length_c 10.0709
_cell_angle_alpha 78.30
_cell_angle_beta 78.30
_cell_angle_gamma 60.00
_space_group_name_H-M_alt 'P 1'
_space_group_IT_number 1
loop_
_space_group_symop_operation_xyz
'x,y,z'
loop_
_atom_site_label
_atom_site_fract_x
_atom_site_fract_y
_atom_site_fract_z
K1 0.5006 0.5006 0.4982
In1 0.6664 0.6664 0.0007
Bi1 0.0684 0.0684 0.7949
Bi2 0.2646 0.2646 0.2062

Record 11
# KInBi2 (PBE, optimized geometry)
# - E_form (eV per atom) = -0.119
# - total moment (Bohr magnetons per cell) = 0.0
# - space group = No. 123
data_KInBi2
_chemical_formula_sum 'K1 In1 Bi2'
_cell_length_a 5.3660
_cell_length_b 4.9217
_cell_length_c 4.9217
_cell_angle_alpha 90.00
_cell_angle_beta 90.00
_cell_angle_gamma 90.00
_space_group_name_H-M_alt 'P 1'
_space_group_IT_number 1
loop_
_space_group_symop_operation_xyz
'x,y,z'
loop_
_atom_site_label
_atom_site_fract_x
_atom_site_fract_y
_atom_site_fract_z
K1 0.5000 0.5000 0.5000
Bi1 0.0000 0.0000 0.5000
Bi2 0.0000 0.5000 0.0000
In1 0.5000 0.0000 0.0000

Record 12
# K3In5Bi2 (PBE, optimized geometry)
# - E_form (eV per atom) = -0.191
# - total moment (Bohr magnetons per cell) = 0.0
# - space group = No. 72
data_K3In5Bi2
_chemical_formula_sum 'K6 In10 Bi4'
_cell_length_a 7.3282
_cell_length_b 10.6391
_cell_length_c 10.6391
_cell_angle_alpha 75.84
_cell_angle_beta 69.85
_cell_angle_gamma 69.85
_space_group_name_H-M_alt 'P 1'
_space_group_IT_number 1
loop_
_space_group_symop_operation_xyz
'x,y,z'
loop_
_atom_site_label
_atom_site_fract_x
_atom_site_fract_y
_atom_site_fract_z
K1 0.2500 0.0000 0.0000
K2 0.7500 0.0000 0.0000
K3 0.3765 0.3848 0.8623
K4 0.6235 0.6152 0.1377
K5 0.8765 0.8623 0.3848
K6 0.1235 0.1377 0.6152
In1 0.2500 0.5000 0.5000
In2 0.7500 0.5000 0.5000
In3 0.5076 0.7424 0.7424
In4 0.9924 0.2576 0.2576
In5 0.4924 0.2576 0.2576
In6 0.0076 0.7424 0.7424
In7 0.1237 0.5000 0.2526
In8 0.8763 0.5000 0.7474
In9 0.6237 0.2526 0.5000
In10 0.3763 0.7474 0.5000
Bi1 0.1470 0.7040 0.0020
Bi2 0.8530 0.2960 0.9980
Bi3 0.6470 0.0020 0.7040
Bi4 0.3530 0.9980 0.2960

Q: Look up the E_form of the twelfth one.
A: -0.191 eV per atom

What did the fourth record say?
# KIn2Bi (PBE, optimized geometry)
# - E_form (eV per atom) = -0.077
# - total moment (Bohr magnetons per cell) = 0.0
# - space group = No. 129
data_KIn2Bi
_chemical_formula_sum 'K2 In4 Bi2'
_cell_length_a 5.0140
_cell_length_b 5.0140
_cell_length_c 11.6730
_cell_angle_alpha 90.00
_cell_angle_beta 90.00
_cell_angle_gamma 90.00
_space_group_name_H-M_alt 'P 1'
_space_group_IT_number 1
loop_
_space_group_symop_operation_xyz
'x,y,z'
loop_
_atom_site_label
_atom_site_fract_x
_atom_site_fract_y
_atom_site_fract_z
K1 0.5000 0.0000 0.2432
K2 0.0000 0.5000 0.7568
In1 0.5000 0.0000 0.9458
In2 0.0000 0.5000 0.0542
In3 0.0000 0.0000 0.5000
In4 0.5000 0.5000 0.5000
Bi1 0.5000 0.0000 0.6712
Bi2 0.0000 0.5000 0.3288

Q: Number 8 is which compound?
A: K2In2Bi